Zn2FeRhF: optimized geometry, PBE with a Hubbard U.

Cell lengths 4.3073, 4.3073, 3.9953 Å; angles 90.00, 90.00, 90.00 degrees
Closest atoms and distances in Å follow each position.
Sites, in units of the cell vectors:
Zn: 0.0000 0.5000 0.0000  2 F 2.15
Zn: 0.5000 0.0000 0.0000  2 F 2.15
Fe: 0.0000 0.0000 0.5000  2 F 2.00
Rh: 0.5000 0.5000 0.5000  8 Zn 2.94, 4 Fe 3.05
F: 0.0000 0.0000 0.0000  2 Fe 2.00, 4 Zn 2.15

Calculated values
Total moment: 4.011 μB/cell
E_tot: -3.67 eV/atom